Entry 1:
Er5Sb2Te2: optimized geometry, GGA-PBE.

Cell: 8.0162 7.9897 8.6127 Å, 117.63 90.00 90.00°
Sites, in units of the cell vectors:
1 Sb 0.3568 0.1450 0.0000
2 Te 0.5000 0.3005 0.6009
3 Sb 0.6432 0.8550 0.0000
4 Er 0.6577 0.0225 0.7300
5 Er 0.8423 0.5225 0.7300
6 Sb 0.8568 0.3550 0.0000
7 Er 0.3423 0.7075 0.7300
8 Er 0.6577 0.2925 0.2700
9 Er 0.8423 0.7925 0.2700
10 Er 0.1577 0.2075 0.7300
11 Er 0.5000 0.5000 0.0000
12 Sb 0.1432 0.6450 0.0000
13 Er 0.0000 0.0000 0.0000
14 Te 0.5000 0.6995 0.3991
15 Te 0.0000 0.1995 0.3991
16 Er 0.3423 0.9775 0.2700
17 Er 0.1577 0.4775 0.2700
18 Te 0.0000 0.8005 0.6009

Results
Formation energy (no corrections): -1015 meV/atom
Calculated total energy: -5.165 eV/atom


Entry 2:
La2Nd3Os2: optimized geometry, GGA-PBE.

Cell: 4.0250 6.5705 8.8707 Å, 102.47 103.09 107.83°
Sites, in units of the cell vectors:
1 Nd 0.2025 0.8254 0.5801
2 La 0.6352 0.4654 0.8043
3 Nd 0.5000 0.0000 0.0000
4 Os 0.9558 0.1391 0.7729
5 Nd 0.7975 0.1746 0.4199
6 Os 0.0442 0.8609 0.2271
7 La 0.3648 0.5346 0.1957

Results
Calculated total energy: -6.774 eV/atom
E_form: -0.115 eV per atom